No. 1
Tb5Sn3 (meta-GGA SCAN, PBEsol geometry); formation energy = -0.8245 eV per atom
1.0
6.4821 0.0000 0.0000
0.0000 8.8829 0.0000
0.0000 -4.4414 7.6928
Sn Tb
6 10
Cartesian
4.8616 2.6840 4.6489
1.6205 -2.6840 4.6489
4.8616 3.5148 0.0000
4.8616 -1.7574 3.0439
1.6205 5.3681 0.0000
1.6205 1.7574 3.0439
1.6205 3.3832 5.8598
4.8616 6.7663 0.0000
0.0000 4.4414 2.5643
4.8616 -3.3832 5.8598
3.2411 0.0000 5.1285
1.6205 -1.0583 1.8330
1.6205 2.1166 0.0000
4.8616 1.0583 1.8330
3.2411 4.4414 2.5643
0.0000 0.0000 5.1285

---

No. 2
MgBeFe2 (meta-GGA SCAN, PBEsol geometry); formation energy = 0.1702 eV per atom; relative energy among the computed polymorphs = 0.0 kJ per mole of atoms
1.0
4.0177 0.0000 0.0000
0.0000 4.0177 0.0000
-2.0089 -2.0089 2.8384
Fe Mg Be
2 1 1
Cartesian
0.0000 0.0000 0.0000
2.0089 0.0000 1.4192
2.0089 2.0089 0.0000
0.0000 2.0089 1.4192

---

No. 3
K2In2Sb3 (meta-GGA SCAN, PBEsol geometry); formation energy (no corrections) = -430 meV per atom
1.0
7.5283 0.0000 0.0000
0.0000 15.2616 -0.0128
0.0000 -0.1329 16.7127
Sb In K
24 16 16
Cartesian
4.9946 3.7556 5.4797
4.1766 12.6800 15.2555
6.2978 3.6892 13.8360
0.4125 2.3823 9.8008
5.4046 11.3393 11.3094
4.2513 4.9990 10.0550
3.2769 10.1297 6.6449
1.2304 11.4395 2.8638
7.0410 5.0654 1.6986
2.1237 3.7894 5.3904
3.4980 14.8696 5.5571
7.3156 7.9057 5.7224
2.5337 11.3731 11.2202
1.6404 3.7230 13.7468
5.8878 11.4057 2.9531
3.3516 2.4487 1.4444
3.5515 7.2895 2.6211
3.9768 7.8392 14.0788
0.4872 10.0632 15.0013
7.2622 0.3255 2.7864
0.2127 7.2230 10.9775
7.1158 12.7464 6.8991
4.0302 0.2591 11.1428
0.2661 14.8032 13.9135
5.5196 6.1051 12.3907
1.7774 12.3809 13.8116
5.8848 10.3831 5.6159
1.6057 1.3272 12.1708
5.4076 10.3167 13.9723
5.9226 13.8015 4.5291
1.6435 4.7456 11.0840
5.7509 2.7478 2.8883
1.7554 8.9572 12.6655
1.9867 12.4474 5.4553
5.7728 6.1715 4.0343
5.5415 2.6813 11.2446
2.1206 4.8120 2.7276
2.1584 1.3937 3.8144
2.0087 9.0236 4.3092
5.3698 13.7350 12.8854
3.5052 2.1066 8.2193
3.3831 9.9796 0.3756
0.4083 6.6329 14.9690
0.2589 2.0402 16.5756
4.1724 8.4293 10.0872
7.1472 5.2155 7.9679
4.0289 1.0573 14.8139
0.2647 14.0049 10.2423
3.4994 14.0713 1.8860
0.3811 9.9132 8.7319
7.2693 13.0885 0.1242
3.3558 6.6994 6.6127
4.0231 13.0220 8.4806
4.1452 5.1491 16.3243
7.2635 1.1238 6.4576
7.1200 8.4957 1.7308

---

No. 4
Cs3OsI (meta-GGA SCAN, PBEsol geometry); formation energy (no corrections) = 388 meV per atom
1.0
5.8671 0.0000 0.0000
0.0000 5.8671 0.0000
0.0000 0.0000 5.8671
Os Cs I
1 3 1
Cartesian
0.0000 0.0000 0.0000
0.0000 0.0000 2.9336
0.0000 2.9336 0.0000
2.9336 0.0000 0.0000
2.9336 2.9336 2.9336

---

No. 5
Ce2ZnNi2 (meta-GGA SCAN, PBEsol geometry); formation energy = -0.3342 eV per atom
1.0
4.3328 0.0000 0.0000
2.1664 4.6524 -0.0001
2.1664 1.6002 4.3685
Ni Zn Ce
2 1 2
Cartesian
4.3328 2.3959 3.2296
4.3328 3.8567 1.1388
0.0000 0.0000 0.0000
6.4992 4.3579 3.0447
2.1664 1.8946 1.3237

---

No. 6
CoTc2 (meta-GGA SCAN, PBEsol geometry); formation energy = 0.1086 eV per atom; relative energy among the computed polymorphs = 5.7 kJ per mole of atoms
1.0
-1.9646 3.0462 1.9226
-0.8498 -3.9031 0.9375
3.6874 0.0741 3.6507
Tc Co
4 2
Cartesian
1.8437 0.0370 1.8253
1.5442 -1.5311 4.0039
-0.6712 0.7483 2.5069
0.0000 0.0000 0.0000
-0.2995 -1.5682 2.1786
1.1726 0.7853 4.3322

---

No. 7
UB4 (meta-GGA SCAN, PBEsol geometry); formation energy = -0.4290 eV per atom
1.0
3.9136 0.0000 0.0000
0.0000 6.9769 0.0000
0.0000 0.0000 6.9769
U B
4 16
Cartesian
0.0000 2.1597 1.3287
0.0000 5.6482 2.1597
0.0000 4.8172 5.6482
0.0000 1.3287 4.8172
3.1300 3.4885 3.4885
1.9568 6.3723 4.0931
0.7836 3.4885 3.4885
1.9568 2.8838 6.3723
1.9568 0.2703 1.2516
1.9568 6.7067 5.7253
1.9568 0.6047 2.8838
1.9568 1.2516 6.7067
3.1300 0.0000 0.0000
1.9568 4.0931 0.6047
1.9568 4.7401 3.7587
1.9568 5.7253 0.2703
1.9568 2.2368 3.2182
1.9568 3.2182 4.7401
1.9568 3.7587 2.2368
0.7836 0.0000 0.0000

---

No. 8
AlTl2GaB (meta-GGA SCAN, PBEsol geometry); formation energy = 0.7455 eV per atom; relative energy among the computed polymorphs = 14.6 kJ per mole of atoms
1.0
-2.4809 1.9995 -2.3785
-3.3948 -4.2892 -0.0649
-2.5984 1.9902 4.3833
Tl Ga Al B
2 1 1 1
Cartesian
-1.6974 -2.1446 -0.0324
-1.2992 0.9951 2.1917
-4.2370 -0.1497 0.9700
0.0000 0.0000 0.0000
-1.2404 0.9998 -1.1892

---

No. 9
Ca2ZnFe (meta-GGA SCAN, PBEsol geometry); formation energy = 0.1991 eV per atom
1.0
3.4207 0.0000 0.0000
0.0000 5.0725 0.1963
0.0000 -0.1988 5.0724
Ca Fe Zn
2 1 1
Cartesian
0.0000 2.5363 0.0982
0.0000 -0.0994 2.5362
1.7103 0.0000 0.0000
1.7103 2.4369 2.6344

---

No. 10
TaInNi2 (meta-GGA SCAN, PBEsol geometry); formation energy = -0.0105 eV per atom
1.0
-2.5825 0.4722 1.5913
-0.9496 -2.8342 -0.7001
2.7393 -2.1753 5.0911
In Ni Ta
1 2 1
Cartesian
0.3878 -2.8914 4.4488
0.0916 -0.0727 0.1702
-1.1301 -1.6861 1.6277
1.2275 -0.9748 2.2814

---

Result set for density: 8.63 5.26 4.66 5.89 8.73 11.19 9.81 7.20 3.79 11.78 Mg/m³, one per record in the order listed.